(1)
# LaTc3Ge3, relaxed, DFT PBE
data_LaTc3Ge3
_chemical_formula_sum 'La6 Tc18 Ge18'
_cell_length_a 6.4283
_cell_length_b 6.4283
_cell_length_c 23.3691
_cell_angle_alpha 90.00
_cell_angle_beta 90.00
_cell_angle_gamma 120.00
_space_group_name_H-M_alt 'R -3'
_space_group_IT_number 148
_space_group_name_Hall '-R 3'
loop_
_atom_site_label
_atom_site_fract_x
_atom_site_fract_y
_atom_site_fract_z
La1 0.0000 0.0000 0.1794
Tc1 0.0220 0.7612 0.6951
Ge1 0.0535 0.6101 0.2483
# Spin magnetization ... 0.00 μB/atom
# N(E_F) ... 45.36 states/eV per cell
# Polymorph energy (0 for the lowest one) ... 0.195 eV per atom
# ΔH_f (0 K) ... -0.103 eV per atom

(2)
# Sm4Te2PAu, relaxed, DFT PBE
data_Sm4Te2PAu
_chemical_formula_sum 'Sm4 Te2 P1 Au1'
_cell_length_a 7.531
_cell_length_b 4.232
_cell_length_c 7.567
_cell_angle_alpha 90.00
_cell_angle_beta 108.47
_cell_angle_gamma 90.00
_space_group_name_H-M_alt 'P 1 2/m 1'
_space_group_IT_number 10
_space_group_name_Hall '-P 2y'
loop_
_atom_site_label
_atom_site_fract_x
_atom_site_fract_y
_atom_site_fract_z
Sm1 0.220 0.000 0.229
Sm2 0.226 0.500 0.752
Te1 0.500 0.000 0.000
Te2 0.500 0.500 0.500
P1 0.000 0.500 0.000
Au1 0.000 0.000 0.500
# Formation energy from raw total energies ... -1.2942 eV/atom
# Spin magnetization ... 0.00 μB/atom
# N(E_F) ... 4.73 states/eV per cell

(3)
# MgCdBi2S, relaxed, DFT PBE
data_MgCdBi2S
_chemical_formula_sum 'Mg1 Cd1 Bi2 S1'
_cell_length_a 5.501
_cell_length_b 5.501
_cell_length_c 5.197
_cell_angle_alpha 90.00
_cell_angle_beta 90.00
_cell_angle_gamma 90.00
_space_group_name_H-M_alt 'P 4/m m m'
_space_group_IT_number 123
_space_group_name_Hall '-P 4 2'
loop_
_atom_site_label
_atom_site_fract_x
_atom_site_fract_y
_atom_site_fract_z
Mg1 0.000 0.000 0.000
Cd1 0.000 0.000 0.500
Bi1 0.000 0.500 0.000
S1 0.500 0.500 0.500
# Formation energy from raw total energies ... 0.6341 eV/atom
# Spin magnetization ... 0.00 μB/atom
# N(E_F) ... 3.27 states/eV per cell
# Polymorph energy (0 for the lowest one) ... 0.095 eV per atom

(4)
# Ca2Pu3Ir2, relaxed, DFT PBE
data_Ca2Pu3Ir2
_chemical_formula_sum 'Ca4 Pu6 Ir4'
_cell_length_a 11.569
_cell_length_b 4.096
_cell_length_c 8.423
_cell_angle_alpha 90.00
_cell_angle_beta 114.58
_cell_angle_gamma 90.00
_space_group_name_H-M_alt 'C 1 2/m 1'
_space_group_IT_number 12
_space_group_name_Hall '-C 2y'
loop_
_atom_site_label
_atom_site_fract_x
_atom_site_fract_y
_atom_site_fract_z
Ca1 0.159 0.000 0.309
Pu1 0.000 0.500 0.500
Pu2 0.123 0.500 0.942
Ir1 0.151 0.000 0.729
# Spin magnetization ... 2.44 μB/atom
# N(E_F) ... 43.84 states/eV per cell
# ΔH_f (0 K) ... -0.281 eV per atom

| no. | E_tot (eV/atom) |
| --- | --- |
| 1 | -7.228 |
| 2 | -5.525 |
| 3 | -2.246 |
| 4 | -9.527 |